Compound: PaGaP
Source: Alexandria via LeMat-Bulk
Functional: PBE-GGA
Structure: relaxed

The calculation puts the total DFT energy (no corrections) at -6.476 eV per atom. The space-group type is R-3m (166). The calculated formation energy comes out at -1.50 eV/f.u.

POSCAR file:
```
PaGaP
1.0
-2.6858 3.5776 0.5604
-4.4713 -0.4613 -0.3488
-2.8483 -0.5710 8.1303
Pa P Ga
2 2 2
direct
0.2645 0.2645 0.2064
0.7355 0.7355 0.7936
0.3764 0.3764 0.8708
0.6236 0.6236 0.1292
0.8586 0.8586 0.4241
0.1414 0.1414 0.5759
```

***

Compound: ZnCr3Cl
Source: Alexandria via LeMat-Bulk
Functional: PBE-GGA
Structure: relaxed

The calculation puts the total DFT energy (no corrections) at -5.270 eV per atom. The space-group type is Pm-3m (221). The calculation puts the energy relative to the elements, uncorrected at 5.6 eV per formula unit.

POSCAR file:
```
ZnCr3Cl
1.0
4.8893 0.0000 0.0000
0.0000 4.8893 0.0000
0.0000 0.0000 4.8893
Cr Zn Cl
3 1 1
direct
0.0000 0.5000 0.0000
0.0000 0.0000 0.5000
0.5000 0.0000 0.0000
0.0000 0.0000 0.0000
0.5000 0.5000 0.5000
```

***

Q: total DFT energy (no corrections) of number 1 (PaGaP)?
A: -6.476 eV per atom

***

Q: The lowest total DFT energy (no corrections) belongs to which entry?
A: PaGaP

***

Q: Which of these has the lowest total DFT energy (no corrections)?
A: PaGaP

***

Q: Number 2 is which compound?
A: ZnCr3Cl